[1]
A plane-wave DFT calculation with PBE with a Hubbard U was carried out for a relaxed structure of VAgOsO6.

Unit cell a=5.149 b=5.149 c=9.799 alpha=90.00 beta=90.00 gamma=120.00
Atoms (fractional coordinates):
V 0.333 0.667 0.250
V 0.667 0.333 0.750
Ag 0.000 0.000 0.000
Ag 0.000 0.000 0.500
Os 0.333 0.667 0.750
Os 0.667 0.333 0.250
O 0.002 0.380 0.142
O 0.002 0.622 0.358
O 0.378 0.380 0.358
O 0.378 0.998 0.142
O 0.380 0.002 0.642
O 0.380 0.378 0.858
O 0.620 0.622 0.142
O 0.620 0.998 0.358
O 0.622 0.002 0.858
O 0.622 0.620 0.642
O 0.998 0.378 0.642
O 0.998 0.620 0.858

SG: P-31c, No. 163
Uncorrected energy, eV/atom: -6.774
Theoretical density, g/cm3: 6.57


[2]
A plane-wave DFT calculation with PBE with a Hubbard U was carried out for a relaxed structure of AgOsWO6.

Unit cell a=7.328 b=7.328 c=7.328 alpha=121.47 beta=119.02 gamma=89.59
Atoms (fractional coordinates):
Ag 0.457 0.207 0.250
Ag 0.543 0.793 0.750
Os 0.000 0.000 0.500
Os 0.000 0.500 0.000
W 0.000 0.500 0.500
W 0.500 0.500 0.000
O 0.046 0.796 0.250
O 0.059 0.428 0.245
O 0.059 0.814 0.631
O 0.317 0.186 0.745
O 0.317 0.572 0.131
O 0.319 0.569 0.750
O 0.681 0.431 0.250
O 0.683 0.428 0.869
O 0.683 0.814 0.255
O 0.941 0.186 0.369
O 0.941 0.572 0.755
O 0.954 0.204 0.750

SG: Imma, No. 74
Uncorrected energy, eV/atom: -6.806
Theoretical density, g/cm3: 6.93


[3]
A plane-wave DFT calculation with PBE with a Hubbard U was carried out for a relaxed structure of AgOsWO2.

Unit cell a=3.833 b=3.833 c=5.908 alpha=90.00 beta=90.00 gamma=90.00
Atoms (fractional coordinates):
Ag 0.000 0.000 0.000
Os 0.500 0.500 0.000
W 0.000 0.000 0.500
O 0.000 0.500 0.500
O 0.500 0.000 0.500

SG: P4/mmm, No. 123
Uncorrected energy, eV/atom: -5.934
Theoretical density, g/cm3: 9.83